The following is a PBE-GGA calculation of SrMn2Si after structural relaxation, from Alexandria via LeMat-Bulk.

Unit cell a=3.982 b=3.635 c=6.302 alpha=73.15 beta=90.00 gamma=90.00
Fractional positions:
Mn1 0.000 0.985 0.155
Mn2 0.500 0.454 0.219
Si1 0.000 0.352 0.420
Sr1 0.500 0.708 0.706

Results
magnetic moment = 5.924 μB per formula unit
E_tot = -6.146 eV/atom
ΔE_f (raw) = 0.2150 eV/atom